Entry 1:
{"formula": "Zr2AlAg2", "functional": "PBE-GGA", "state": "relaxed", "total_energy_ev_per_cell": -24.5, "formation_energy_ev_per_atom": 0.398, "e_above_lowest_polymorph_mev_per_atom": 568, "volume_a3_per_atom": 22.5, "lattice_angstrom": [[-2.0843, 2.0843, 6.4649], [2.0843, -2.0843, 6.4649], [2.0843, 2.0843, -6.4649]], "species": ["Zr", "Zr", "Al", "Ag", "Ag"], "fractional_positions": [[0.2500, 0.7500, 0.5000], [0.7500, 0.2500, 0.5000], [0.0000, 0.0000, 0.0000], [0.4021, 0.4021, 0.0000], [0.5979, 0.5979, 0.0000]]}


Entry 2:
{"formula": "ZrAl2Ag", "functional": "PBE-GGA", "state": "relaxed", "total_energy_ev_per_cell": -19.7, "formation_energy_ev_per_atom": -0.205, "e_above_lowest_polymorph_mev_per_atom": 164, "volume_a3_per_atom": 18.3, "lattice_angstrom": [[3.0286, 0.0000, 0.0000], [0.0000, 4.4056, 0.0000], [-1.4663, 0.0000, 5.4959]], "species": ["Zr", "Al", "Al", "Ag"], "fractional_positions": [[0.0000, 0.0000, 0.0000], [0.2698, 0.0000, 0.5222], [0.4064, 0.5000, 0.8063], [0.6653, 0.5000, 0.3323]]}


Entry 3:
{"formula": "Zr4AlAg", "functional": "PBE-GGA", "state": "relaxed", "total_energy_ev_per_cell": -39.2, "formation_energy_ev_per_atom": 0.264, "e_above_lowest_polymorph_mev_per_atom": 0, "volume_a3_per_atom": 23.8, "lattice_angstrom": [[3.2806, -3.2851, 0.0000], [3.2806, 3.2851, 0.0000], [0.0000, 0.0000, 6.6254]], "species": ["Zr", "Zr", "Zr", "Zr", "Al", "Ag"], "fractional_positions": [[0.0000, 0.5000, 0.2438], [0.0000, 0.5000, 0.7562], [0.5000, 0.0000, 0.2438], [0.5000, 0.0000, 0.7562], [0.0000, 0.0000, 0.0000], [0.5000, 0.5000, 0.5000]]}


Entry 4:
{"formula": "ZrAl2Ag", "functional": "PBE-GGA", "state": "relaxed", "total_energy_ev_per_cell": -19.6, "formation_energy_ev_per_atom": -0.169, "e_above_lowest_polymorph_mev_per_atom": 200, "volume_a3_per_atom": 18.2, "lattice_angstrom": [[3.0337, 0.0000, 0.0000], [0.0000, 3.9673, 0.0000], [0.0000, 0.0000, 6.0577]], "species": ["Zr", "Al", "Al", "Ag"], "fractional_positions": [[0.0000, 0.0000, 0.0000], [0.0000, 0.0000, 0.5148], [0.5000, 0.5000, 0.7473], [0.5000, 0.5000, 0.2901]]}


Entry 5:
{"formula": "Zr2AlAg", "functional": "PBE-GGA", "state": "relaxed", "total_energy_ev_per_cell": -23.8, "formation_energy_ev_per_atom": -0.021, "volume_a3_per_atom": 20.3, "lattice_angstrom": [[1.5333, 0.8852, 9.9582], [-1.5333, 0.8852, 9.9582], [0.0000, -1.7705, 9.9582]], "species": ["Zr", "Zr", "Al", "Ag"], "fractional_positions": [[0.0000, 0.0000, 0.0000], [0.2408, 0.2408, 0.2408], [0.7488, 0.7488, 0.7488], [0.4888, 0.4888, 0.4888]]}


Entry 6:
{"formula": "ZrAlAg3", "functional": "PBE-GGA", "state": "relaxed", "total_energy_ev_per_cell": -14.6, "formation_energy_ev_per_atom": 1.250, "e_above_lowest_polymorph_mev_per_atom": 767, "volume_a3_per_atom": 30.3, "lattice_angstrom": [[5.3327, 0.0000, 0.0000], [0.0000, 5.3327, 0.0000], [0.0000, 0.0000, 5.3327]], "species": ["Zr", "Al", "Ag", "Ag", "Ag"], "fractional_positions": [[0.0000, 0.0000, 0.0000], [0.5000, 0.5000, 0.5000], [0.0000, 0.0000, 0.5000], [0.0000, 0.5000, 0.0000], [0.5000, 0.0000, 0.0000]]}


Entry 7:
{"formula": "ZrAl2Ag", "functional": "PBE-GGA", "state": "relaxed", "total_energy_ev_per_cell": -20.4, "formation_energy_ev_per_atom": -0.369, "e_above_lowest_polymorph_mev_per_atom": 0, "volume_a3_per_atom": 17.9, "lattice_angstrom": [[4.2316, 0.0000, 0.0000], [0.0000, 4.2316, 0.0000], [0.0000, 0.0000, 4.0085]], "species": ["Zr", "Al", "Al", "Ag"], "fractional_positions": [[0.0000, 0.0000, 0.0000], [0.0000, 0.5000, 0.5000], [0.5000, 0.0000, 0.5000], [0.5000, 0.5000, 0.0000]]}


Entry 8:
{"formula": "Zr2AlAg", "functional": "PBE-GGA", "state": "relaxed", "total_energy_ev_per_cell": -24.6, "formation_energy_ev_per_atom": -0.232, "volume_a3_per_atom": 19.8, "lattice_angstrom": [[3.2071, 0.0000, 0.0000], [0.0000, 4.2227, 0.0000], [0.0000, 0.0000, 5.8374]], "species": ["Zr", "Zr", "Al", "Ag"], "fractional_positions": [[0.0000, 0.0000, 0.2474], [0.0000, 0.0000, 0.7526], [0.5000, 0.5000, 0.0000], [0.5000, 0.5000, 0.5000]]}


Entry 9:
{"formula": "Zr2AlAg", "functional": "PBE-GGA", "state": "relaxed", "total_energy_ev_per_cell": -24.6, "formation_energy_ev_per_atom": -0.230, "volume_a3_per_atom": 19.8, "lattice_angstrom": [[-2.1834, 2.1834, 4.1494], [2.1834, -2.1834, 4.1494], [2.1834, 2.1834, -4.1494]], "species": ["Zr", "Zr", "Al", "Ag"], "fractional_positions": [[0.2500, 0.7500, 0.5000], [0.7500, 0.2500, 0.5000], [0.0000, 0.0000, 0.0000], [0.5000, 0.5000, 0.0000]]}


Entry 10:
{"formula": "Zr2AlAg2", "functional": "PBE-GGA", "state": "relaxed", "total_energy_ev_per_cell": -53.5, "formation_energy_ev_per_atom": -0.046, "e_above_lowest_polymorph_mev_per_atom": 124, "volume_a3_per_atom": 20.2, "lattice_angstrom": [[6.8788, 0.0000, 0.0000], [0.0000, 6.8788, 0.0000], [0.0000, 0.0000, 4.2649]], "species": ["Zr", "Zr", "Zr", "Zr", "Al", "Al", "Ag", "Ag", "Ag", "Ag"], "fractional_positions": [[0.1661, 0.3339, 0.0000], [0.3339, 0.8339, 0.0000], [0.6661, 0.1661, 0.0000], [0.8339, 0.6661, 0.0000], [0.0000, 0.0000, 0.5000], [0.5000, 0.5000, 0.5000], [0.1400, 0.6400, 0.5000], [0.3600, 0.1400, 0.5000], [0.6400, 0.8600, 0.5000], [0.8600, 0.3600, 0.5000]]}


Entry 11:
{"formula": "ZrAl2Ag", "functional": "PBE-GGA", "state": "relaxed", "total_energy_ev_per_cell": -19.6, "formation_energy_ev_per_atom": -0.182, "e_above_lowest_polymorph_mev_per_atom": 187, "volume_a3_per_atom": 18.1, "lattice_angstrom": [[3.2013, 0.0000, 0.0000], [0.0000, 3.2013, 0.0000], [0.0000, 0.0000, 7.0572]], "species": ["Zr", "Al", "Al", "Ag"], "fractional_positions": [[0.0000, 0.0000, 0.0000], [0.0000, 0.0000, 0.5129], [0.5000, 0.5000, 0.7433], [0.5000, 0.5000, 0.3038]]}


Entry 12:
{"formula": "ZrAl2Ag", "functional": "PBE-GGA", "state": "relaxed", "total_energy_ev_per_cell": -19.3, "formation_energy_ev_per_atom": -0.105, "e_above_lowest_polymorph_mev_per_atom": 265, "volume_a3_per_atom": 18.6, "lattice_angstrom": [[5.1185, -1.4544, 0.0000], [5.1185, 1.4544, 0.0000], [-1.8395, 0.0000, 4.9848]], "species": ["Zr", "Al", "Al", "Ag"], "fractional_positions": [[0.0000, 0.0000, 0.0000], [0.2353, 0.2353, 0.7405], [0.7647, 0.7647, 0.2595], [0.5000, 0.5000, 0.5000]]}


Entry 13:
{"formula": "ZrAl3Ag", "functional": "PBE-GGA", "state": "relaxed", "total_energy_ev_per_cell": -19.8, "formation_energy_ev_per_atom": 0.557, "e_above_lowest_polymorph_mev_per_atom": 0, "volume_a3_per_atom": 21.6, "lattice_angstrom": [[4.7617, 0.0000, 0.0000], [0.0000, 4.7617, 0.0000], [0.0000, 0.0000, 4.7617]], "species": ["Zr", "Al", "Al", "Al", "Ag"], "fractional_positions": [[0.0000, 0.0000, 0.0000], [0.0000, 0.5000, 0.5000], [0.5000, 0.0000, 0.5000], [0.5000, 0.5000, 0.0000], [0.5000, 0.5000, 0.5000]]}


Entry 14:
{"formula": "ZrAl2Ag", "functional": "PBE-GGA", "state": "relaxed", "total_energy_ev_per_cell": -19.2, "formation_energy_ev_per_atom": -0.079, "e_above_lowest_polymorph_mev_per_atom": 290, "volume_a3_per_atom": 18.4, "lattice_angstrom": [[1.4953, 0.8633, 9.5031], [-1.4953, 0.8633, 9.5031], [0.0000, -1.7267, 9.5031]], "species": ["Zr", "Al", "Al", "Ag"], "fractional_positions": [[0.0000, 0.0000, 0.0000], [0.4980, 0.4980, 0.4980], [0.7529, 0.7529, 0.7529], [0.2415, 0.2415, 0.2415]]}


Entry 15:
{"formula": "Ag5As", "functional": "PBE-GGA", "state": "relaxed", "total_energy_ev_per_cell": -18.5, "formation_energy_ev_per_atom": 0.065, "e_above_lowest_polymorph_mev_per_atom": 0, "volume_a3_per_atom": 18.2, "lattice_angstrom": [[4.8393, 0.0000, 0.0000], [0.0000, 1.4758, 7.6277], [0.0000, -1.4758, 7.6277]], "species": ["Ag", "Ag", "Ag", "Ag", "Ag", "As"], "fractional_positions": [[0.0000, 0.0000, 0.0000], [0.0000, 0.3325, 0.3325], [0.0000, 0.6646, 0.6646], [0.5000, 0.2202, 0.2202], [0.5000, 0.5540, 0.5540], [0.5000, 0.8877, 0.8877]]}


Entry 16:
{"formula": "AgAs", "functional": "PBE-GGA", "state": "relaxed", "total_energy_ev_per_cell": -14.0, "formation_energy_ev_per_atom": 0.239, "e_above_lowest_polymorph_mev_per_atom": 130, "volume_a3_per_atom": 18.9, "lattice_angstrom": [[2.9489, 0.0000, 0.0000], [-1.4745, 2.5538, 0.0000], [0.0000, 0.0000, 10.0463]], "species": ["Ag", "Ag", "As", "As"], "fractional_positions": [[0.3333, 0.6667, 0.1194], [0.6667, 0.3333, 0.8806], [0.3333, 0.6667, 0.6497], [0.6667, 0.3333, 0.3503]]}


Entry 17:
{"formula": "AgAs3", "functional": "PBE-GGA", "state": "relaxed", "total_energy_ev_per_cell": -16.1, "formation_energy_ev_per_atom": 0.165, "e_above_lowest_polymorph_mev_per_atom": 35, "volume_a3_per_atom": 20.1, "lattice_angstrom": [[2.7228, -4.0445, 0.0000], [2.7228, 4.0445, 0.0000], [0.0000, 0.0000, 3.6571]], "species": ["Ag", "As", "As", "As"], "fractional_positions": [[0.0000, 0.0000, 0.0000], [0.2560, 0.7440, 0.5000], [0.5000, 0.5000, 0.0000], [0.7440, 0.2560, 0.5000]]}


Entry 18:
{"formula": "Ag2As", "functional": "PBE-GGA", "state": "relaxed", "total_energy_ev_per_cell": -19.8, "formation_energy_ev_per_atom": 0.158, "e_above_lowest_polymorph_mev_per_atom": 41, "volume_a3_per_atom": 18.5, "lattice_angstrom": [[4.4128, -2.5509, 0.0000], [4.4128, 2.5509, 0.0000], [0.0000, 0.0000, 4.9336]], "species": ["Ag", "Ag", "Ag", "Ag", "As", "As"], "fractional_positions": [[0.0166, 0.6522, 0.7500], [0.3478, 0.9834, 0.7500], [0.6522, 0.0166, 0.2500], [0.9834, 0.3478, 0.2500], [0.3040, 0.6960, 0.2500], [0.6960, 0.3040, 0.7500]]}


Entry 19:
{"formula": "AgAs", "functional": "PBE-GGA", "state": "relaxed", "total_energy_ev_per_cell": -7.0, "formation_energy_ev_per_atom": 0.250, "e_above_lowest_polymorph_mev_per_atom": 142, "volume_a3_per_atom": 18.9, "lattice_angstrom": [[3.0637, 0.0000, 0.0000], [-1.5319, 2.6533, 0.0000], [0.0000, 0.0000, 4.6606]], "species": ["Ag", "As"], "fractional_positions": [[0.0000, 0.0000, 0.0000], [0.6667, 0.3333, 0.5000]]}


Entry 20:
{"formula": "AgAs3", "functional": "PBE-GGA", "state": "relaxed", "total_energy_ev_per_cell": -30.7, "formation_energy_ev_per_atom": 0.366, "e_above_lowest_polymorph_mev_per_atom": 236, "volume_a3_per_atom": 21.0, "lattice_angstrom": [[6.3621, 0.0000, 0.0000], [-3.1811, 5.5098, 0.0000], [0.0000, 0.0000, 4.7961]], "species": ["Ag", "Ag", "As", "As", "As", "As", "As", "As"], "fractional_positions": [[0.3333, 0.6667, 0.2500], [0.6667, 0.3333, 0.7500], [0.1944, 0.3888, 0.7500], [0.1944, 0.8056, 0.7500], [0.3888, 0.1944, 0.2500], [0.6112, 0.8056, 0.7500], [0.8056, 0.1944, 0.2500], [0.8056, 0.6112, 0.2500]]}


The records above yield DOS(E_F) values of 0.759; 0.618; 1.337; 0.538; 0.796; 0.904; 0.415; 0.923; 0.851; 0.980; 0.657; 0.616; 0.615; 0.622; 0.112; 0.565; 0.473; 0.378; 0.295; 0.554 states/eV per atom, respectively.